Record 1
An optimized crystal structure of Nd2Sc2O5, computed with GGA-PBE.

Cell and atoms, written as extended XYZ:
```
9
Lattice="3.771 0.000 0.000 0.000 3.771 0.000 0.000 0.000 10.058" Properties=species:S:1:pos:R:3 pbc="T T T"
Nd 0.000 0.000 2.412
Nd 0.000 0.000 7.646
Sc 1.886 1.886 0.000
Sc 1.886 1.886 5.029
O 0.000 0.000 5.029
O 0.000 1.886 1.270
O 0.000 1.886 8.788
O 1.886 0.000 1.270
O 1.886 0.000 8.788
```

Summary:
E_tot: -0.5720 Ry per atom
energy above the lowest structure with this stoichiometry: 437 meV/atom



Record 2
An optimized crystal structure of SmTlCd, computed with GGA-PBE.

Cell and atoms, written as extended XYZ:
```
3
Lattice="0.000 3.626 3.626 3.626 0.000 3.626 3.626 3.626 0.000" Properties=species:S:1:pos:R:3 pbc="T T T"
Sm 0.000 0.000 0.000
Tl 1.813 1.813 1.813
Cd 5.438 5.438 5.438
```

Summary:
E_tot: -0.1925 Ry per atom



Record 3
An optimized crystal structure of PrGdMg2, computed with GGA-PBE.

Cell and atoms, written as extended XYZ:
```
4
Lattice="3.837 0.000 0.000 0.000 5.475 0.000 0.000 0.000 5.475" Properties=species:S:1:pos:R:3 pbc="T T T"
Pr 0.000 0.000 0.000
Gd 0.000 2.737 2.758
Mg 1.918 0.000 2.734
Mg 1.918 2.737 0.025
```

Summary:
E_tot: -0.2376 Ry per atom
energy above the lowest structure with this stoichiometry: 3 meV/atom



Record 4
An optimized crystal structure of BaLuCuSe3, computed with GGA-PBE.

Cell and atoms, written as extended XYZ:
```
12
Lattice="8.662 0.000 0.000 0.000 4.127 0.000 -2.697 0.000 8.941" Properties=species:S:1:pos:R:3 pbc="T T T"
Ba 1.084 1.032 2.245
Ba 4.880 3.095 6.696
Lu 0.516 3.095 7.524
Lu 5.449 1.032 1.417
Cu -0.892 1.032 5.263
Cu 6.856 3.095 3.678
Se -1.397 1.032 7.717
Se 0.496 3.095 4.747
Se 3.501 3.095 1.417
Se 2.464 1.032 7.524
Se 5.469 1.032 4.194
Se 7.362 3.095 1.224
```

Summary:
E_tot: -0.3662 Ry per atom